Entry 1:
# PBE HoGa12Cu6, relaxed
# - crystal system = trigonal
# - density of states at the Fermi level (states/eV per cell) = 15.256
# - M_tot (Bohr magnetons per cell) = 0.00
# - density (g/cm³) = 7.2
# - energy (eV/atom) = -3.512
data_HoGa12Cu6
_chemical_formula_sum 'Ho3 Ga36 Cu18'
_cell_length_a 11.2861
_cell_length_b 11.2861
_cell_length_c 8.6860
_cell_angle_alpha 90.00
_cell_angle_beta 90.00
_cell_angle_gamma 120.00
_space_group_name_H-M_alt 'R -3 m'
_space_group_IT_number 166
_space_group_name_Hall '-R 3 2"'
loop_
_atom_site_label
_atom_site_type_symbol
_atom_site_fract_x
_atom_site_fract_y
_atom_site_fract_z
Ho1 Ho 0.0000 0.0000 0.0000
Ga1 Ga 0.0000 0.3874 0.5000
Ga2 Ga 0.0839 0.1677 0.3081
Cu1 Cu 0.0515 0.5258 0.2360


Entry 2:
# PBE Ho2Ga5Cu3, relaxed
# - crystal system = orthorhombic
# - density of states at the Fermi level (states/eV per cell) = 12.821
# - M_tot (Bohr magnetons per cell) = 0.00
# - density (g/cm³) = 8.3
# - energy (eV/atom) = -4.122
data_Ho2Ga5Cu3
_chemical_formula_sum 'Ho8 Ga20 Cu12'
_cell_length_a 10.4421
_cell_length_b 11.5321
_cell_length_c 5.7926
_cell_angle_alpha 90.00
_cell_angle_beta 90.00
_cell_angle_gamma 90.00
_space_group_name_H-M_alt 'I b a m'
_space_group_IT_number 72
_space_group_name_Hall '-I 2 2c'
loop_
_atom_site_label
_atom_site_type_symbol
_atom_site_fract_x
_atom_site_fract_y
_atom_site_fract_z
Ho1 Ho 0.2439 0.1290 0.0000
Ga1 Ga 0.0000 0.0000 0.2500
Ga2 Ga 0.0000 0.2575 0.2500
Ga3 Ga 0.1472 0.3887 0.0000
Cu1 Cu 0.0000 0.5000 0.2500
Cu2 Cu 0.1280 0.1291 0.5000


> What is the M_tot in the second record?

0.00 Bohr magnetons per cell